## AcNbHg (PBE-GGA)

Data for crystalline AcNbHg at its relaxed geometry.

Calculated values
**Formation energy**: 0.667 eV per atom
**Calculated total energy**: -4.166 eV per atom

abc: 5.147 5.147 5.147
angles: 60.00 60.00 60.00
Positions (direct):
Hg 0.000 0.000 0.000
Nb 0.750 0.750 0.750
Ac 0.250 0.250 0.250

***

## KCdAu (PBE-GGA)

Data for crystalline KCdAu at its relaxed geometry.

Calculated values
**Calculated total energy**: -1.902 eV per atom

abc: 5.180 5.180 5.180
angles: 60.00 60.00 60.00
Positions (direct):
Cd 0.250 0.250 0.250
Au 0.000 0.000 0.000
K 0.750 0.750 0.750

***

| no. | distance to the lowest polymorph of the same formula (kJ/mol of formula units) |
| --- | --- |
| 1 | 0 |
| 2 | 0 |